[1]
LiTlHgTe (PBE, relaxed); formation energy from raw total energies = -0.35 eV/atom; space group = F-43m (216); E = -2.2857 eV/atom
1.0
-1.8492 -4.6208 -2.2350
-2.1538 -3.8889 3.1630
-5.3620 -0.9940 -0.1678
Te Hg Tl Li
1 1 1 1
direct
0.5000 0.5000 0.5000
0.0000 0.0000 0.0000
0.7500 0.7500 0.7500
0.2500 0.2500 0.2500

[2]
Li2HgTeW (PBE, relaxed); formation energy from raw total energies = 0.76 eV/atom; space group = P4/mmm (123); E = -3.2810 eV/atom
1.0
-1.7866 0.6565 4.3143
-4.0234 -3.2215 -1.1760
2.4830 -3.6808 1.5883
Li Te Hg W
2 1 1 1
direct
0.5000 0.0000 0.0000
0.0000 0.0000 0.5000
0.5000 0.5000 0.5000
0.0000 0.0000 0.0000
0.0000 0.5000 0.0000

[3]
LiZrHg2Te (PBE, relaxed); formation energy from raw total energies = 0.59 eV/atom; space group = P4/mmm (123); E = -2.2518 eV/atom
1.0
-4.9892 -0.3110 -2.8355
-2.5599 -1.0680 4.6212
-0.8285 5.6245 0.8409
Hg Zr Li Te
2 1 1 1
direct
0.5000 0.0000 0.0000
0.0000 0.0000 0.5000
0.0000 0.5000 0.0000
0.5000 0.5000 0.5000
0.0000 0.0000 0.0000

[4]
Li2ZrHgTe (PBE, relaxed); formation energy from raw total energies = 0.34 eV/atom; space group = P4/mmm (123); E = -2.8281 eV/atom
1.0
-2.6171 -3.4341 -1.5144
4.8805 -3.4820 -0.5384
-0.5689 -1.4620 4.2983
Zr Li Hg Te
1 2 1 1
direct
0.5000 0.5000 0.5000
0.0000 0.0000 0.5000
0.5000 0.0000 0.0000
0.0000 0.0000 0.0000
0.0000 0.5000 0.0000

[5]
LiThHg2 (PBE, relaxed); space group = R-3m (166); E = -2.6051 eV/atom
1.0
3.9450 0.0000 0.0000
1.9725 3.4164 0.0000
1.9725 1.1388 7.4819
Hg Li Th
2 1 1
direct
0.2693 0.2693 0.1922
0.7307 0.7307 0.8078
0.0000 0.0000 0.0000
0.5000 0.5000 0.5000

[6]
Li5ThHg6 (PBE, relaxed); space group = P2/m (10); E = -1.8717 eV/atom
1.0
-3.4630 2.3169 2.5316
-4.1210 -5.8323 -0.2996
4.6521 -3.5386 4.8955
Hg Li Th
6 5 1
direct
0.1728 0.2753 0.3476
0.8272 0.7247 0.6524
0.5000 0.2781 0.0000
0.1728 0.7247 0.3476
0.5000 0.7219 0.0000
0.8272 0.2753 0.6524
0.3422 0.5000 0.6817
0.6577 0.5000 0.3183
0.3235 0.0000 0.6458
0.0000 0.5000 0.0000
0.6765 0.0000 0.3542
0.0000 0.0000 0.0000

[7]
Li2ThHg (PBE, relaxed); space group = P4/mmm (123); E = -2.9325 eV/atom
1.0
3.4280 0.0000 0.0000
0.0000 3.4280 0.0000
0.0000 0.0000 7.4035
Li Hg Th
2 1 1
direct
0.0000 0.0000 0.1905
0.0000 0.0000 0.8095
0.5000 0.5000 0.0000
0.5000 0.5000 0.5000

[8]
Li2ThHg (PBE, relaxed); space group = Cm (8); E = -2.8999 eV/atom
1.0
3.3646 -0.0073 -0.0043
1.6760 2.9174 -0.0043
1.6674 0.9627 9.9194
Th Hg Li
1 1 2
direct
0.5023 0.5023 0.4998
0.6661 0.6661 0.0006
0.2617 0.2617 0.2114
0.0698 0.0698 0.7883

[9]
LiTh2Hg3 (PBE, relaxed); space group = Cmcm (63); E = -3.0761 eV/atom
1.0
-0.9101 2.1995 -2.5529
-5.6907 1.2740 3.1264
6.4358 9.1586 7.9824
Hg Th Li
6 4 2
direct
0.7703 0.7500 0.5405
0.5847 0.5186 0.1695
0.4153 0.0186 0.8305
0.4153 0.4814 0.8305
0.5847 0.9814 0.1695
0.2297 0.2500 0.4595
0.8290 0.2500 0.6580
0.9946 0.7500 0.9891
0.0054 0.2500 0.0109
0.1710 0.7500 0.3420
0.3443 0.7500 0.6886
0.6557 0.2500 0.3114

[10]
Li2ThHg4 (PBE, relaxed); space group = P4/mmm (123); E = -1.9491 eV/atom
1.0
4.9387 0.0000 0.0000
0.0000 4.9387 0.0000
0.0000 0.0000 7.0576
Hg Li Th
4 2 1
direct
0.0000 0.5000 0.2850
0.0000 0.5000 0.7150
0.5000 0.0000 0.2850
0.5000 0.0000 0.7150
0.5000 0.5000 0.5000
0.0000 0.0000 0.0000
0.5000 0.5000 0.0000

[11]
LiThHg2 (PBE, relaxed); space group = P4/mmm (123); E = -2.7019 eV/atom
1.0
3.5533 0.0000 0.0000
0.0000 5.3624 0.0000
0.0000 0.0000 5.3624
Th Hg Li
1 2 1
direct
0.5000 0.5000 0.5000
0.0000 0.0000 0.5000
0.0000 0.5000 0.0000
0.5000 0.0000 0.0000

[12]
LiTh2Hg5 (PBE, relaxed); space group = I4/mmm (139); E = -2.4874 eV/atom
1.0
5.0405 0.0000 0.0000
0.0000 5.0405 0.0000
-2.5203 -2.5203 7.7536
Th Hg Li
2 5 1
direct
0.2573 0.2573 0.5146
0.7427 0.7427 0.4854
0.5000 0.5000 0.0000
0.8878 0.3878 0.7755
0.3878 0.8878 0.7755
0.6122 0.1122 0.2245
0.1122 0.6122 0.2245
0.0000 0.0000 0.0000

[13]
LiTh2Hg3 (PBE, relaxed); space group = Imm2 (44); E = -3.0766 eV/atom
1.0
4.8693 0.0000 -1.2961
-0.2486 3.2858 -0.9338
-0.1766 0.7968 9.1313
Hg Li Th
3 1 2
direct
0.2970 0.7970 0.5941
0.5440 0.5440 0.0880
0.7123 0.7123 0.4247
0.4429 0.9429 0.8858
0.8839 0.3839 0.7678
0.1198 0.1198 0.2396

[14]
Li2ThHg (PBE, relaxed); space group = Fm-3m (225); E = -2.8922 eV/atom
1.0
4.8882 0.0000 0.0000
2.4441 4.2333 0.0000
2.4441 1.4111 3.9912
Hg Th Li
1 1 2
direct
0.0000 0.0000 0.0000
0.5000 0.5000 0.5000
0.7500 0.7500 0.7500
0.2500 0.2500 0.2500

[15]
LiThHg2 (PBE, relaxed); space group = P4/mmm (123); E = -2.7658 eV/atom
1.0
3.4477 0.0000 0.0000
0.0000 3.4477 0.0000
0.0000 0.0000 7.7098
Th Li Hg
1 1 2
direct
0.5000 0.5000 0.5000
0.5000 0.5000 0.0000
0.0000 0.0000 0.7958
0.0000 0.0000 0.2042

[16]
Li2ThHg3 (PBE, relaxed); space group = P4/mmm (123); E = -2.3274 eV/atom
1.0
3.4233 0.0000 0.0000
0.0000 3.4233 0.0000
0.0000 0.0000 10.9604
Hg Th Li
3 1 2
direct
0.0000 0.0000 0.7105
0.0000 0.0000 0.0000
0.0000 0.0000 0.2895
0.5000 0.5000 0.5000
0.5000 0.5000 0.8527
0.5000 0.5000 0.1473

[17]
LiThHg2 (PBE, relaxed); space group = R3m (160); E = -2.6391 eV/atom
1.0
-1.1230 2.3115 -2.3549
-2.9001 1.8362 0.6057
3.7659 8.0825 3.5581
Th Hg Li
1 2 1
direct
0.4998 0.4998 0.5007
0.0713 0.0713 0.7860
0.2616 0.2616 0.2151
0.6673 0.6673 0.9982

[18]
LiThHg5 (PBE, relaxed); space group = Cmmm (65); E = -1.6587 eV/atom
1.0
5.2823 0.1062 0.0000
-1.6185 5.0293 -0.0001
0.0001 0.0000 6.9071
Hg Li Th
5 1 1
direct
0.0000 0.5000 0.7441
0.5000 0.0000 0.2559
0.0000 0.0000 0.5000
0.5000 0.0000 0.7441
0.0000 0.5000 0.2559
0.5000 0.5000 0.5000
0.0000 0.0000 0.0000

[19]
LiThHg2 (PBE, relaxed); space group = Fm-3m (225); E = -2.7712 eV/atom
1.0
-0.8562 0.5389 5.0657
-4.7753 -0.5663 1.8870
-1.1681 -4.1293 2.8757
Hg Li Th
2 1 1
direct
0.5000 0.5000 0.5000
0.0000 0.0000 0.0000
0.2500 0.2500 0.2500
0.7500 0.7500 0.7500

[20]
Li4ThHg5 (PBE, relaxed); space group = P4/mmm (123); E = -1.9877 eV/atom
1.0
-0.2815 -2.1230 -2.6445
3.1727 0.7723 -0.9577
6.1654 -13.1002 9.8603
Hg Th Li
5 1 4
direct
0.5000 0.5000 0.8675
0.5000 0.5000 0.5000
0.5000 0.5000 0.6836
0.5000 0.5000 0.3164
0.5000 0.5000 0.1325
0.0000 0.0000 0.0000
0.0000 0.0000 0.7761
0.0000 0.0000 0.4089
0.0000 0.0000 0.5911
0.0000 0.0000 0.2239